A plane-wave DFT calculation with PBE was carried out for a relaxed Ac5Al2Sn2 crystal.

Geometry as extended XYZ:
```
18
Lattice="8.6304 -4.3623 0.0000 8.6304 4.3623 0.0000 0.0000 0.0000 8.6987" Properties=species:S:1:pos:R:3 pbc="T T T"
Ac 0.0000 0.0000 0.0000
Ac 6.2199 2.8220 5.8489
Ac 6.2199 1.5402 1.4996
Ac 11.0410 2.8220 5.8489
Ac 11.0410 1.5402 1.4996
Ac 8.6304 0.0000 4.3493
Ac 6.2199 -1.5402 7.1991
Ac 6.2199 -2.8220 2.8498
Ac 11.0410 -1.5402 7.1991
Ac 11.0410 -2.8220 2.8498
Al 8.6304 3.4049 3.3882
Al 8.6304 0.9573 7.7375
Al 8.6304 -0.9573 0.9612
Al 8.6304 -3.4049 5.3105
Sn 3.5501 0.0000 0.0000
Sn 5.0804 0.0000 4.3493
Sn 12.1805 0.0000 4.3493
Sn 13.7108 0.0000 0.0000
```

Summary:
Total DFT energy (no corrections) (hartree per atom): -0.16335
E_form (eV per atom): -0.44
Calculated volume (Å³/atom): 36.39
Space group: Cmce, No. 64